Record 1
First-principles (PBE-GGA) data for Nd3AgB2Pt9 after structural relaxation, as listed in Alexandria via LeMat-Bulk.

Summary:
* space group: P-3m1, No. 164
* VASP energy: -95.63 eV for the cell shown
* total moment: 0.00 Bohr magnetons per cell
* DOS(E_F): 5.17 states/eV/cell
* calculated volume: 18.601 A^3/atom

Lattice parameters (Å, degrees): 5.794 5.794 9.596 90.00 90.00 120.00
Positions (direct):
Nd: 0.333 0.667 0.612
Nd: 0.000 0.000 0.000
Nd: 0.667 0.333 0.388
Ag: 0.000 0.000 0.500
B: 0.333 0.667 0.146
B: 0.667 0.333 0.854
Pt: 0.835 0.165 0.723
Pt: 0.835 0.669 0.723
Pt: 0.331 0.165 0.723
Pt: 0.669 0.835 0.277
Pt: 0.165 0.331 0.277
Pt: 0.165 0.835 0.277
Pt: 0.500 0.000 0.000
Pt: 0.000 0.500 0.000
Pt: 0.500 0.500 0.000

***

Record 2
First-principles (PBE-GGA) data for Sm4TcI5 after structural relaxation, as listed in Alexandria via LeMat-Bulk.

Summary:
* space group: C2/m, No. 12
* VASP energy: -46.83 eV for the cell shown
* total moment: 0.00 Bohr magnetons per cell
* DOS(E_F): 5.61 states/eV/cell
* calculated volume: 37.684 A^3/atom
* formation energy from raw total energies: -0.98 eV/atom

Lattice parameters (Å, degrees): 4.147 9.498 10.064 103.42 101.89 90.00
Positions (direct):
Sm: 0.364 0.930 0.727
Sm: 0.000 0.781 0.999
Sm: 0.636 0.070 0.273
Sm: 0.000 0.219 0.001
Tc: 0.500 0.000 0.000
I: 0.833 0.668 0.665
I: 0.829 0.163 0.658
I: 0.171 0.837 0.342
I: 0.500 0.500 0.000
I: 0.167 0.332 0.335